# 1
Entry from Alexandria via LeMat-Bulk: crystalline K3TbRe2O9 at its relaxed geometry (GGA-PBE).

raw formation energy	-2.05	eV per atom
N(E_F)	5.6	states/eV/f.u.
electronic total energy	-108.12	eV per cell
density	6.4	g cm⁻³
total magnetization	0.000	μB per atom

Structure (CIF):
```
data_K3TbRe2O9
_chemical_formula_sum 'K3 Tb1 Re2 O9'
_cell_length_a 5.7713
_cell_length_b 5.7713
_cell_length_c 7.1490
_cell_angle_alpha 90.00
_cell_angle_beta 90.00
_cell_angle_gamma 120.00
_symmetry_space_group_name_H-M 'P -3 m 1'
_symmetry_Int_Tables_number 164
_symmetry_space_group_name_Hall '-P 3 2"'
loop_
_atom_site_label
_atom_site_type_symbol
_atom_site_fract_x
_atom_site_fract_y
_atom_site_fract_z
_atom_site_occupancy
K1 K 0.0000 0.0000 0.0000 1
K2 K 0.3333 0.6667 0.6691 1
Tb1 Tb 0.0000 0.0000 0.5000 1
Re1 Re 0.3333 0.6667 0.1580 1
O1 O 0.0000 0.5000 0.0000 1
O2 O 0.1789 0.3578 0.3084 1
```

# 2
Entry from Alexandria via LeMat-Bulk: crystalline K2ReTcO6 at its relaxed geometry (GGA-PBE).

raw formation energy	-1.64	eV per atom
N(E_F)	3.7	states/eV/f.u.
electronic total energy	-71.19	eV per cell
density	6.2	g cm⁻³
total magnetization	0.036	μB per atom

Structure (CIF):
```
data_K2ReTcO6
_chemical_formula_sum 'K2 Re1 Tc1 O6'
_cell_length_a 5.591
_cell_length_b 5.591
_cell_length_c 3.916
_cell_angle_alpha 90.00
_cell_angle_beta 90.00
_cell_angle_gamma 90.00
_symmetry_space_group_name_H-M 'P 4/m m m'
_symmetry_Int_Tables_number 123
_symmetry_space_group_name_Hall '-P 4 2'
loop_
_atom_site_label
_atom_site_type_symbol
_atom_site_fract_x
_atom_site_fract_y
_atom_site_fract_z
_atom_site_occupancy
K1 K 0.000 0.500 0.000 1
Re1 Re 0.000 0.000 0.500 1
Tc1 Tc 0.500 0.500 0.500 1
O1 O 0.000 0.000 0.000 1
O2 O 0.245 0.245 0.500 1
O3 O 0.500 0.500 0.000 1
```

# 3
Entry from Alexandria via LeMat-Bulk: crystalline KRe2TcO8 at its relaxed geometry (GGA-PBE).

raw formation energy	-1.52	eV per atom
electronic total energy	-94.21	eV per cell
density	5.0	g cm⁻³
total magnetization	0.000	μB per atom

Structure (CIF):
```
data_KRe2TcO8
_chemical_formula_sum 'K1 Re2 Tc1 O8'
_cell_length_a 5.8070
_cell_length_b 5.8070
_cell_length_c 7.1993
_cell_angle_alpha 90.00
_cell_angle_beta 90.00
_cell_angle_gamma 120.00
_symmetry_space_group_name_H-M 'P -3'
_symmetry_Int_Tables_number 147
_symmetry_space_group_name_Hall '-P 3'
loop_
_atom_site_label
_atom_site_type_symbol
_atom_site_fract_x
_atom_site_fract_y
_atom_site_fract_z
_atom_site_occupancy
K1 K 0.0000 0.0000 0.0000 1
Re1 Re 0.3333 0.6667 0.7427 1
Tc1 Tc 0.0000 0.0000 0.5000 1
O1 O 0.1627 0.3289 0.6616 1
O2 O 0.3333 0.6667 0.9886 1
```

# 4
Entry from Alexandria via LeMat-Bulk: crystalline KReTc2O8 at its relaxed geometry (GGA-PBE).

raw formation energy	-1.39	eV per atom
N(E_F)	4.0	states/eV/f.u.
electronic total energy	-181.23	eV per cell
density	6.1	g cm⁻³
total magnetization	0.000	μB per atom

Structure (CIF):
```
data_KReTc2O8
_chemical_formula_sum 'K2 Re2 Tc4 O16'
_cell_length_a 6.606
_cell_length_b 7.045
_cell_length_c 6.396
_cell_angle_alpha 90.00
_cell_angle_beta 90.00
_cell_angle_gamma 90.00
_symmetry_space_group_name_H-M 'C m m m'
_symmetry_Int_Tables_number 65
_symmetry_space_group_name_Hall '-C 2 2'
loop_
_atom_site_label
_atom_site_type_symbol
_atom_site_fract_x
_atom_site_fract_y
_atom_site_fract_z
_atom_site_occupancy
K1 K 0.000 0.000 0.000 1
Re1 Re 0.000 0.000 0.500 1
Tc1 Tc 0.000 0.500 0.253 1
O1 O 0.000 0.283 0.500 1
O2 O 0.000 0.342 0.000 1
O3 O 0.219 0.000 0.303 1
```

# 5
Entry from Alexandria via LeMat-Bulk: crystalline K2ThReO6 at its relaxed geometry (GGA-PBE).

raw formation energy	-2.30	eV per atom
N(E_F)	2.0	states/eV/f.u.
electronic total energy	-74.82	eV per cell
density	6.1	g cm⁻³
total magnetization	0.059	μB per atom

Structure (CIF):
```
data_K2ThReO6
_chemical_formula_sum 'K2 Th1 Re1 O6'
_cell_length_a 5.943
_cell_length_b 5.943
_cell_length_c 4.572
_cell_angle_alpha 90.00
_cell_angle_beta 90.00
_cell_angle_gamma 90.00
_symmetry_space_group_name_H-M 'P 4 m m'
_symmetry_Int_Tables_number 99
_symmetry_space_group_name_Hall 'P 4 -2'
loop_
_atom_site_label
_atom_site_type_symbol
_atom_site_fract_x
_atom_site_fract_y
_atom_site_fract_z
_atom_site_occupancy
K1 K 0.000 0.500 0.000 1
Th1 Th 0.000 0.000 0.535 1
Re1 Re 0.500 0.500 0.452 1
O1 O 0.000 0.000 0.037 1
O2 O 0.278 0.278 0.550 1
O3 O 0.500 0.500 0.070 1
```

# 6
Entry from Alexandria via LeMat-Bulk: crystalline K2TiRe3O12 at its relaxed geometry (GGA-PBE).

raw formation energy	-1.87	eV per atom
N(E_F)	8.0	states/eV/f.u.
electronic total energy	-421.80	eV per cell
density	5.3	g cm⁻³
total magnetization	0.000	μB per atom

Structure (CIF):
```
data_K2TiRe3O12
_chemical_formula_sum 'K6 Ti3 Re9 O36'
_cell_length_a 7.3070
_cell_length_b 7.3070
_cell_length_c 17.6803
_cell_angle_alpha 90.00
_cell_angle_beta 90.00
_cell_angle_gamma 120.00
_symmetry_space_group_name_H-M 'R -3 m'
_symmetry_Int_Tables_number 166
_symmetry_space_group_name_Hall '-R 3 2"'
loop_
_atom_site_label
_atom_site_type_symbol
_atom_site_fract_x
_atom_site_fract_y
_atom_site_fract_z
_atom_site_occupancy
K1 K 0.0000 0.0000 0.1130 1
Ti1 Ti 0.0000 0.0000 0.5000 1
Re1 Re 0.0000 0.5000 0.0000 1
O1 O 0.0785 0.5393 0.3540 1
O2 O 0.0840 0.5420 0.1014 1
```

# 7
Entry from Alexandria via LeMat-Bulk: crystalline K2TiReO at its relaxed geometry (GGA-PBE).

raw formation energy	0.75	eV per atom
N(E_F)	7.7	states/eV/f.u.
electronic total energy	-23.75	eV per cell
density	3.2	g cm⁻³
total magnetization	0.682	μB per atom

Structure (CIF):
```
data_K2TiReO
_chemical_formula_sum 'K2 Ti1 Re1 O1'
_cell_length_a 6.763
_cell_length_b 6.763
_cell_length_c 3.675
_cell_angle_alpha 90.00
_cell_angle_beta 90.00
_cell_angle_gamma 90.00
_symmetry_space_group_name_H-M 'P 4/m m m'
_symmetry_Int_Tables_number 123
_symmetry_space_group_name_Hall '-P 4 2'
loop_
_atom_site_label
_atom_site_type_symbol
_atom_site_fract_x
_atom_site_fract_y
_atom_site_fract_z
_atom_site_occupancy
K1 K 0.000 0.500 0.000 1
Ti1 Ti 0.000 0.000 0.000 1
Re1 Re 0.500 0.500 0.500 1
O1 O 0.000 0.000 0.500 1
```

# 8
Entry from Alexandria via LeMat-Bulk: crystalline KTi2ReO at its relaxed geometry (GGA-PBE).

raw formation energy	1.17	eV per atom
N(E_F)	6.7	states/eV/f.u.
electronic total energy	-28.44	eV per cell
density	4.1	g cm⁻³
total magnetization	0.000	μB per atom

Structure (CIF):
```
data_KTi2ReO
_chemical_formula_sum 'K1 Ti2 Re1 O1'
_cell_length_a 4.638
_cell_length_b 4.638
_cell_length_c 6.405
_cell_angle_alpha 90.00
_cell_angle_beta 90.00
_cell_angle_gamma 90.00
_symmetry_space_group_name_H-M 'P 4/m m m'
_symmetry_Int_Tables_number 123
_symmetry_space_group_name_Hall '-P 4 2'
loop_
_atom_site_label
_atom_site_type_symbol
_atom_site_fract_x
_atom_site_fract_y
_atom_site_fract_z
_atom_site_occupancy
K1 K 0.000 0.000 0.000 1
Ti1 Ti 0.000 0.500 0.500 1
Re1 Re 0.000 0.000 0.500 1
O1 O 0.500 0.500 0.000 1
```

# 9
Entry from Alexandria via LeMat-Bulk: crystalline K3TlRe2O9 at its relaxed geometry (GGA-PBE).

raw formation energy	-1.60	eV per atom
electronic total energy	-99.13	eV per cell
density	5.7	g cm⁻³
total magnetization	0.000	μB per atom

Structure (CIF):
```
data_K3TlRe2O9
_chemical_formula_sum 'K3 Tl1 Re2 O9'
_cell_length_a 5.7581
_cell_length_b 5.7581
_cell_length_c 8.5372
_cell_angle_alpha 90.00
_cell_angle_beta 90.00
_cell_angle_gamma 120.00
_symmetry_space_group_name_H-M 'P -3 m 1'
_symmetry_Int_Tables_number 164
_symmetry_space_group_name_Hall '-P 3 2"'
loop_
_atom_site_label
_atom_site_type_symbol
_atom_site_fract_x
_atom_site_fract_y
_atom_site_fract_z
_atom_site_occupancy
K1 K 0.0000 0.0000 0.0000 1
K2 K 0.3333 0.6667 0.7340 1
Tl1 Tl 0.0000 0.0000 0.5000 1
Re1 Re 0.3333 0.6667 0.1458 1
O1 O 0.0000 0.5000 0.0000 1
O2 O 0.1792 0.3583 0.2548 1
```

The highest electronic total energy belongs to which entry? K2TiReO

Which value of total magnetization does entry 1 give? 0.000 μB per atom

What is the density in the seventh record? 3.2 g cm⁻³

Copy entry 6 word for word.
Entry from Alexandria via LeMat-Bulk: crystalline K2TiRe3O12 at its relaxed geometry (GGA-PBE).

raw formation energy	-1.87	eV per atom
N(E_F)	8.0	states/eV/f.u.
electronic total energy	-421.80	eV per cell
density	5.3	g cm⁻³
total magnetization	0.000	μB per atom

Structure (CIF):
```
data_K2TiRe3O12
_chemical_formula_sum 'K6 Ti3 Re9 O36'
_cell_length_a 7.3070
_cell_length_b 7.3070
_cell_length_c 17.6803
_cell_angle_alpha 90.00
_cell_angle_beta 90.00
_cell_angle_gamma 120.00
_symmetry_space_group_name_H-M 'R -3 m'
_symmetry_Int_Tables_number 166
_symmetry_space_group_name_Hall '-R 3 2"'
loop_
_atom_site_label
_atom_site_type_symbol
_atom_site_fract_x
_atom_site_fract_y
_atom_site_fract_z
_atom_site_occupancy
K1 K 0.0000 0.0000 0.1130 1
Ti1 Ti 0.0000 0.0000 0.5000 1
Re1 Re 0.0000 0.5000 0.0000 1
O1 O 0.0785 0.5393 0.3540 1
O2 O 0.0840 0.5420 0.1014 1
```